Record 1
! BaCuN2 PBE optimized geometry; values from VASP
&SYSTEM
  ibrav = 0, nat = 4, ntyp = 3
/
ATOMIC_SPECIES
Ba 137.33 Ba.upf
Cu 63.55 Cu.upf
N 14.01 N.upf
ATOMIC_POSITIONS crystal
Ba 0.000 0.000 0.000
Cu 0.500 0.500 0.500
N 0.250 0.250 0.250
N 0.750 0.750 0.750
CELL_PARAMETERS angstrom
0.000 3.130 3.130
3.130 0.000 3.130
3.130 3.130 0.000
! - Uncorrected formation energy: 1.263 eV per atom
! - SG: Fm-3m (225)
! - D(E_F): 2.556 states/eV/atom


Record 2
! Y3Al9Ru2 PBE optimized geometry; values from VASP
&SYSTEM
  ibrav = 0, nat = 14, ntyp = 3
/
ATOMIC_SPECIES
Y 88.91 Y.upf
Al 26.98 Al.upf
Ru 101.07 Ru.upf
ATOMIC_POSITIONS crystal
Y 0.000 0.000 0.000
Y 0.297 0.297 0.000
Y 0.703 0.703 0.000
Al 0.010 0.649 0.361
Al 0.157 0.873 0.284
Al 0.289 0.649 0.639
Al 0.410 0.127 0.284
Al 0.500 0.000 0.500
Al 0.590 0.873 0.716
Al 0.711 0.351 0.361
Al 0.843 0.127 0.716
Al 0.990 0.351 0.639
Ru 0.328 0.500 0.828
Ru 0.672 0.500 0.172
CELL_PARAMETERS angstrom
-2.166 4.785 6.223
2.166 -4.785 6.223
2.166 4.785 -6.223
! - Final energy: -79.7 eV/cell
! - SG: Immm (71)
! - D(E_F): 0.418 states/eV/atom


Record 3
! TbSmSnPt PBE optimized geometry; values from VASP
&SYSTEM
  ibrav = 0, nat = 4, ntyp = 4
/
ATOMIC_SPECIES
Tb 158.93 Tb.upf
Sm 150.36 Sm.upf
Sn 118.71 Sn.upf
Pt 195.08 Pt.upf
ATOMIC_POSITIONS crystal
Tb 0.000 0.000 0.000
Sm 0.500 0.500 0.500
Sn 0.250 0.250 0.250
Pt 0.750 0.750 0.750
CELL_PARAMETERS angstrom
0.000 3.686 3.686
3.686 0.000 3.686
3.686 3.686 0.000
! - Final energy: -22.7 eV/cell
! - SG: F-43m (216)
! - D(E_F): 0.418 states/eV/atom


Record 4
! Nd2EuBr PBE optimized geometry; values from VASP
&SYSTEM
  ibrav = 0, nat = 4, ntyp = 3
/
ATOMIC_SPECIES
Nd 144.24 Nd.upf
Eu 151.96 Eu.upf
Br 79.90 Br.upf
ATOMIC_POSITIONS crystal
Nd 0.098 0.098 0.098
Nd 0.902 0.902 0.902
Eu 0.000 0.000 0.000
Br 0.500 0.500 0.500
CELL_PARAMETERS angstrom
1.817 1.049 11.788
-1.817 1.049 11.788
0.000 -2.098 11.788
! - Uncorrected formation energy: -0.363 eV per atom
! - SG: R-3m (166)
! - D(E_F): 1.320 states/eV/atom